Compound: Cd4BiAu4
Source: the Alexandria database
Functional: PBE-GGA
Structure: relaxed

Energy (eV per atom): -2.358
Formation enthalpy at 0 K (eV per atom): -0.064
M_tot (Bohr magnetons per cell): 0.0
Space-group type: P4_2/n
Fermi-level density of states (states/eV per cell): 5.64

abc: 5.107 8.806 8.806
angles: 90.00 90.00 90.00
Positions (direct):
Cd  0.403  0.415  0.851
Cd  0.903  0.649  0.915
Cd  0.403  0.585  0.149
Cd  0.097  0.085  0.649
Cd  0.597  0.851  0.585
Cd  0.097  0.915  0.351
Cd  0.903  0.351  0.085
Cd  0.597  0.149  0.415
Bi  0.000  0.000  0.000
Bi  0.500  0.500  0.500
Au  0.589  0.892  0.210
Au  0.589  0.108  0.790
Au  0.089  0.710  0.608
Au  0.911  0.392  0.710
Au  0.911  0.608  0.290
Au  0.411  0.210  0.108
Au  0.411  0.790  0.892
Au  0.089  0.290  0.392